A crystal of V4CrCoO12 relaxed with PBEsol, computed with SCAN.

As for the uncorrected formation energy: -2.379 eV per atom. Its energy is -223.24 eV for the cell shown. The density is 3.7 g/cm3. Its space-group type is C2. The total moment is 4.9 μB per formula unit.

abc: 5.6634 6.5825 6.5825
angles: 83.90 74.91 74.91
Closest atoms and distances in Å follow each position.
Positions (direct):
V  0.0149  0.6087  0.7954  4 O 1.69-1.75
V  0.4940  0.3883  0.1994  4 O 1.66-1.78
O  0.5139  0.9110  0.3721  1 V 1.66
Cr  0.0000  0.0820  0.9180  6 O 1.90-1.99
V  0.9851  0.2046  0.3913  4 O 1.69-1.75
O  0.0191  0.3668  0.9109  1 V 1.69
O  0.4861  0.6279  0.0890  1 V 1.66
V  0.5060  0.8006  0.6117  4 O 1.66-1.78
O  0.0978  0.0321  0.1902  1 V 1.72
O  0.6296  0.1843  0.0266  1 V 1.74
O  0.9809  0.0891  0.6332  1 V 1.69
O  0.3184  0.6149  0.6529  2 V 1.74-1.78
O  0.1831  0.3784  0.3336  2 V 1.75-1.77
Co  0.5000  0.9146  0.0854  4 O 1.91-2.06
O  0.6816  0.3471  0.3851  2 V 1.74-1.78
O  0.9022  0.8098  0.9679  1 V 1.72
O  0.8169  0.6664  0.6216  2 V 1.75-1.77
O  0.3704  0.9734  0.8157  1 V 1.74

=====

A crystal of CrCoOs2 relaxed with PBEsol, computed with SCAN.

Its energy is -178.76 eV for the cell shown. The value obtained for the distance to the lowest polymorph of the same formula is 103 meV/atom. The density is 16.5 g/cm3. Its space-group type is Pmmm. The total moment is 0.8 μB per formula unit. As for the formation energy: 0.17 eV/atom.

abc: 2.6128 3.6087 5.2544
angles: 90.00 90.00 90.00
Closest atoms and distances in Å follow each position.
Positions (direct):
Os  0.0000  0.0000  0.7525  4 Co 2.58, 4 Cr 2.59, 4 Os 2.60-2.65
Cr  0.5000  0.5000  0.5000  8 Os 2.59, 2 Cr 2.61, 2 Co 2.63
Co  0.5000  0.5000  0.0000  8 Os 2.58, 2 Co 2.61, 2 Cr 2.63
Os  0.0000  0.0000  0.2475  4 Co 2.58, 4 Cr 2.59, 4 Os 2.60-2.65

=====

A crystal of Cr2CoOs relaxed with PBEsol, computed with SCAN.

Its energy is -125.59 eV for the cell shown. The density is 12.6 g/cm3. Its space-group type is I-4m2. The total moment is 0.4 μB per formula unit. As for the formation energy: 0.09 eV/atom.

abc: 3.5953 3.5953 4.4082
angles: 114.07 114.07 90.00
Closest atoms and distances in Å follow each position.
Positions (direct):
Co  0.2500  0.7500  0.5000  8 Cr 2.54, 4 Os 2.54
Cr  0.7500  0.2500  0.5000  4 Co 2.54, 4 Cr 2.54, 4 Os 2.54
Cr  0.0000  0.0000  0.0000  4 Os 2.54, 4 Cr 2.54, 4 Co 2.54
Os  0.5000  0.5000  0.0000  8 Cr 2.54, 4 Co 2.54

=====

A crystal of CrCoOs2 relaxed with PBEsol, computed with SCAN.

Its energy is -178.26 eV for the cell shown. The value obtained for the distance to the lowest polymorph of the same formula is 228 meV/atom. The density is 16.0 g/cm3. Its space-group type is F-43m. The total moment is 4.6 μB per formula unit. As for the formation energy: 0.30 eV/atom.

abc: 4.1586 4.1586 4.1586
angles: 60.00 60.00 60.00
Closest atoms and distances in Å follow each position.
Positions (direct):
Cr  0.2500  0.2500  0.2500  4 Co 2.55, 4 Os 2.55
Co  0.5000  0.5000  0.5000  4 Os 2.55, 4 Cr 2.55
Os  0.7500  0.7500  0.7500  4 Os 2.55, 4 Co 2.55
Os  0.0000  0.0000  0.0000  4 Cr 2.55, 4 Os 2.55

=====

- Which value of energy does entry 3 give?
  -125.59 eV for the cell shown

=====

- The highest total moment belongs to which entry?
  V4CrCoO12